A plane-wave DFT calculation with meta-GGA SCAN was carried out for a PBEsol-optimized structure of ScInRh2.

Computed properties:
The density of states at the Fermi level is 2.870 states/eV/cell. The value obtained for the density is 8.95 Mg/m³. As for the formation energy from the elements: -0.41 eV per atom.

abc: 2.9758 2.9758 7.6600
angles: 90.00 90.00 90.00
With the nearest neighbours (Å) after each atom.
Fractional coordinates of all 4 atoms:
In1 0.5000 0.5000 0.7830  4 Rh 2.75, 4 In 2.98
Sc1 0.0000 0.0000 0.4595  4 Rh 2.68, 4 Sc 2.98
Rh1 0.5000 0.5000 0.2437  4 Sc 2.68, 8 Rh 2.74-2.98
Rh2 0.0000 0.0000 0.0138  8 Rh 2.74-2.98, 4 In 2.75